# YCoGe4 PBE optimized geometry
data_YCoGe4
_symmetry_space_group_name_H-M 'P -1'
_symmetry_Int_Tables_number 2
_cell_length_a 6.1045
_cell_length_b 6.2966
_cell_length_c 6.7308
_cell_angle_alpha 84.07
_cell_angle_beta 89.99
_cell_angle_gamma 61.01
loop_
_symmetry_equiv_pos_as_xyz
'x,y,z'
'-x,-y,-z'
loop_
_atom_site_label
_atom_site_type_symbol
_atom_site_fract_x
_atom_site_fract_y
_atom_site_fract_z
_atom_site_occupancy
Y1 Y 0.1063 0.4995 0.2503 1
Co1 Co 0.0000 0.0000 0.5000 1
Co2 Co 0.5000 0.0000 0.0000 1
Ge1 Ge 0.1289 0.0130 0.1465 1
Ge2 Ge 0.3133 0.6137 0.5884 1
Ge3 Ge 0.3578 0.0136 0.6465 1
Ge4 Ge 0.4265 0.3865 0.9117 1
# ρ, g/cm³: 6.48
# Energy of formation from the pure elements, eV/atom: -0.305
# Total DFT energy (no corrections), eV/cell: -67.734
# Density of states at the Fermi level, states/eV per atom: 0.6625
# Crystal system: triclinic